{
  "formula": "LiMnPH2",
  "functional": "PBE",
  "state": "relaxed",
  "space_group": "P4/mmm, No. 123",
  "crystal_system": "tetragonal",
  "dft_energy_ev_per_atom": -4.59,
  "magnetic_moment_mub_per_atom": 0.300,
  "n_ef_per_ev_atom": 0.511,
  "lattice": [[3.482, 0.000, 0.000], [0.000, 3.482, 0.000], [0.000, 0.000, 4.264]],
  "species": ["Li", "Mn", "P", "H", "H"],
  "fractional_positions": [[0.000, 0.000, 0.000], [0.500, 0.500, 0.500], [0.500, 0.500, 0.000], [0.000, 0.500, 0.500], [0.500, 0.000, 0.500]]
}